A plane-wave DFT calculation with PBE was carried out for a relaxed structure of Dy6OsO12.

Lattice parameters (Å, degrees): 6.4784 6.4784 6.4784 98.66 98.66 98.66
Atoms (fractional coordinates):
Dy 0.1108 0.6441 0.8145
Dy 0.1855 0.8892 0.3559
Dy 0.3559 0.1855 0.8892
Dy 0.6441 0.8145 0.1108
Dy 0.8145 0.1108 0.6441
Dy 0.8892 0.3559 0.1855
Os 0.5000 0.5000 0.5000
O 0.0664 0.3226 0.9090
O 0.0910 0.9336 0.6774
O 0.2037 0.5358 0.4264
O 0.3226 0.9090 0.0664
O 0.4264 0.2037 0.5358
O 0.4642 0.5736 0.7963
O 0.5358 0.4264 0.2037
O 0.5736 0.7963 0.4642
O 0.6775 0.0910 0.9336
O 0.7963 0.4642 0.5736
O 0.9090 0.0664 0.3226
O 0.9336 0.6774 0.0910

Computed properties:
- magnetization (μB per atom) = 0.11
- calculated volume (Å³/cell) = 262
- raw formation energy (kcal/mol of atoms) = -70.67

A plane-wave DFT calculation with PBE was carried out for a relaxed structure of Dy2OsO6.

Lattice parameters (Å, degrees): 4.9927 4.9927 9.9822 90.00 90.00 90.00
Atoms (fractional coordinates):
Dy 0.0000 0.0000 0.1696
Dy 0.0000 0.0000 0.8304
Dy 0.5000 0.5000 0.3304
Dy 0.5000 0.5000 0.6696
Os 0.0000 0.0000 0.5000
Os 0.5000 0.5000 0.0000
O 0.1863 0.1863 0.3549
O 0.1863 0.1863 0.6451
O 0.2267 0.2267 0.0000
O 0.2733 0.7267 0.5000
O 0.3137 0.6863 0.1451
O 0.3137 0.6863 0.8549
O 0.6863 0.3137 0.1451
O 0.6863 0.3137 0.8549
O 0.7267 0.2733 0.5000
O 0.7733 0.7733 0.0000
O 0.8137 0.8137 0.3549
O 0.8137 0.8137 0.6451

Computed properties:
- magnetization (μB per atom) = 0.22
- calculated volume (Å³/cell) = 249
- raw formation energy (kcal/mol of atoms) = -54.94
- distance to the lowest polymorph of the same formula (meV per atom) = 19

A plane-wave DFT calculation with PBE was carried out for a relaxed structure of DyOsPb2O8.

Lattice parameters (Å, degrees): 5.0999 6.7648 5.1004 90.00 90.54 90.00
Atoms (fractional coordinates):
Dy 0.0000 0.0000 0.0000
Os 0.0000 0.5000 0.0000
Pb 0.5000 0.2524 0.5000
Pb 0.5000 0.7476 0.5000
O 0.1791 0.2837 0.1835
O 0.1791 0.7163 0.1835
O 0.2605 0.5000 0.7454
O 0.3092 0.0000 0.6947
O 0.6908 0.0000 0.3053
O 0.7395 0.5000 0.2546
O 0.8209 0.2837 0.8165
O 0.8209 0.7163 0.8165

Computed properties:
- magnetization (μB per atom) = 0.00
- calculated volume (Å³/cell) = 176
- raw formation energy (kcal/mol of atoms) = -33.19

A plane-wave DFT calculation with PBE was carried out for a relaxed structure of DyOs2PbO8.

Lattice parameters (Å, degrees): 6.0080 6.0080 7.1338 90.00 90.00 120.00
Atoms (fractional coordinates):
Dy 0.0000 0.0000 0.0000
Os 0.3333 0.6667 0.2784
Os 0.6667 0.3333 0.7216
Pb 0.0000 0.0000 0.5000
O 0.1621 0.3265 0.2074
O 0.1644 0.8379 0.2074
O 0.3265 0.1644 0.7926
O 0.3333 0.6667 0.5293
O 0.6667 0.3333 0.4707
O 0.6735 0.8356 0.2074
O 0.8356 0.1621 0.7926
O 0.8379 0.6735 0.7926

Computed properties:
- magnetization (μB per atom) = 0.25
- calculated volume (Å³/cell) = 223
- raw formation energy (kcal/mol of atoms) = -30.26

A plane-wave DFT calculation with PBE was carried out for a relaxed structure of Pm2DyOsO8.

Lattice parameters (Å, degrees): 5.1432 5.1432 6.8904 90.00 90.00 90.52
Atoms (fractional coordinates):
Pm 0.0000 0.0000 0.2487
Pm 0.0000 0.0000 0.7513
Dy 0.5000 0.5000 0.0000
Os 0.5000 0.5000 0.5000
O 0.1967 0.1967 0.0000
O 0.2428 0.2428 0.5000
O 0.3218 0.6782 0.2908
O 0.3218 0.6782 0.7092
O 0.6782 0.3218 0.2908
O 0.6782 0.3218 0.7092
O 0.7572 0.7572 0.5000
O 0.8033 0.8033 0.0000

Computed properties:
- magnetization (μB per atom) = 0.09
- calculated volume (Å³/cell) = 182
- raw formation energy (kcal/mol of atoms) = -56.77

A plane-wave DFT calculation with PBE was carried out for a relaxed structure of PmDy2OsO8.

Lattice parameters (Å, degrees): 5.0700 5.0700 6.8604 90.00 90.00 90.27
Atoms (fractional coordinates):
Pm 0.0000 0.0000 0.0000
Dy 0.5000 0.5000 0.2475
Dy 0.5000 0.5000 0.7525
Os 0.0000 0.0000 0.5000
O 0.1851 0.1851 0.2955
O 0.1851 0.1851 0.7045
O 0.2618 0.7382 0.5000
O 0.3139 0.6861 0.0000
O 0.6861 0.3139 0.0000
O 0.7382 0.2618 0.5000
O 0.8149 0.8149 0.2955
O 0.8149 0.8149 0.7045

Computed properties:
- magnetization (μB per atom) = 0.09
- calculated volume (Å³/cell) = 176
- raw formation energy (kcal/mol of atoms) = -57.87